DFT (GGA-PBE) results for KAcCuAs after structural relaxation.

Unit cell a=5.4044 b=5.4044 c=5.4044 alpha=60.00 beta=60.00 gamma=60.00
Atoms (fractional coordinates):
As1 0.2500 0.2500 0.2500
Cu1 0.7500 0.7500 0.7500
K1 0.0000 0.0000 0.0000
Ac1 0.5000 0.5000 0.5000

Output
The value obtained for the formation energy is -0.358 eV/atom.